The following is a DFT calculation (GGA-PBE) of a relaxed structure of NiSnPt6.

Lattice parameters (Å, degrees): 4.726 4.726 7.252 107.08 107.08 68.85
Positions (direct):
Ni1 0.000 0.000 0.000
Sn1 0.500 0.500 0.500
Pt1 0.067 0.558 0.704
Pt2 0.340 0.340 0.046
Pt3 0.442 0.933 0.296
Pt4 0.558 0.067 0.704
Pt5 0.660 0.660 0.954
Pt6 0.933 0.442 0.296

The space group is C2/m, No. 12. The energy relative to the elements is 1.3 kJ/mol of formula units. The value obtained for the relative energy among the computed polymorphs is 1.55 eV/f.u.



The following is a DFT calculation (GGA-PBE) of a relaxed structure of AlP2ClF.

Lattice parameters (Å, degrees): 4.691 4.691 4.606 90.00 90.00 90.00
Positions (direct):
Al1 0.000 0.000 0.000
P1 0.000 0.500 0.000
P2 0.500 0.000 0.000
Cl1 0.000 0.000 0.500
F1 0.500 0.500 0.500

The space group is P4/mmm, No. 123. The value obtained for the relative energy among the computed polymorphs is 0.00 eV/f.u.



The following is a DFT calculation (GGA-PBE) of a relaxed structure of KSrCu2Cl6.

Lattice parameters (Å, degrees): 8.523 8.523 8.523 48.63 48.63 48.63
Positions (direct):
K1 0.000 0.000 0.000
Sr1 0.500 0.500 0.500
Cu1 0.243 0.243 0.243
Cu2 0.757 0.757 0.757
Cl1 0.078 0.738 0.448
Cl2 0.262 0.552 0.922
Cl3 0.448 0.078 0.738
Cl4 0.552 0.922 0.262
Cl5 0.738 0.448 0.078
Cl6 0.922 0.262 0.552

The space group is R-3, No. 148. The electronic total energy comes out at -3.565 eV per atom.



The following is a DFT calculation (GGA-PBE) of a relaxed structure of TaBe2PdN.

Lattice parameters (Å, degrees): 3.907 3.907 5.066 90.00 90.00 90.00
Positions (direct):
Ta1 0.000 0.000 0.000
Be1 0.000 0.500 0.500
Be2 0.500 0.000 0.500
Pd1 0.000 0.000 0.500
N1 0.500 0.500 0.000

The space group is P4/mmm, No. 123. The electronic total energy comes out at -5.182 eV per atom.



The following is a DFT calculation (GGA-PBE) of a relaxed structure of HfHg3F.

Lattice parameters (Å, degrees): 4.815 4.815 4.815 90.00 90.00 90.00
Positions (direct):
Hf1 0.000 0.000 0.000
Hg1 0.000 0.500 0.500
Hg2 0.500 0.000 0.500
Hg3 0.500 0.500 0.000
F1 0.500 0.500 0.500

The space group is Pm-3m, No. 221. The value obtained for the relative energy among the computed polymorphs is 0.00 eV/f.u.



The following is a DFT calculation (GGA-PBE) of a relaxed structure of RbAsP2O.

Lattice parameters (Å, degrees): 5.238 5.238 3.845 90.00 90.00 90.00
Positions (direct):
Rb1 0.000 0.000 0.000
As1 0.500 0.500 0.500
P1 0.000 0.500 0.500
P2 0.500 0.000 0.500
O1 0.500 0.500 0.000

The space group is P4/mmm, No. 123. The value obtained for the relative energy among the computed polymorphs is 0.00 eV/f.u.



The following is a DFT calculation (GGA-PBE) of a relaxed structure of TaAlFe6.

Lattice parameters (Å, degrees): 6.469 6.469 11.305 90.00 90.00 122.92
Positions (direct):
Ta1 0.000 0.000 0.248
Ta2 0.000 0.000 0.752
Ta3 0.248 0.752 0.500
Ta4 0.752 0.248 0.500
Al1 0.249 0.751 0.000
Al2 0.500 0.500 0.247
Al3 0.500 0.500 0.753
Al4 0.751 0.249 0.000
Fe1 0.000 0.000 0.000
Fe2 0.000 0.000 0.500
Fe3 0.126 0.377 0.121
Fe4 0.126 0.377 0.879
Fe5 0.129 0.378 0.373
Fe6 0.129 0.378 0.627
Fe7 0.253 0.747 0.244
Fe8 0.253 0.747 0.756
Fe9 0.377 0.126 0.121
Fe10 0.377 0.126 0.879
Fe11 0.378 0.129 0.373
Fe12 0.378 0.129 0.627
Fe13 0.500 0.500 0.000
Fe14 0.500 0.500 0.500
Fe15 0.622 0.871 0.373
Fe16 0.622 0.871 0.627
Fe17 0.623 0.874 0.121
Fe18 0.623 0.874 0.879
Fe19 0.747 0.253 0.244
Fe20 0.747 0.253 0.756
Fe21 0.871 0.622 0.373
Fe22 0.871 0.622 0.627
Fe23 0.874 0.623 0.121
Fe24 0.874 0.623 0.879

The space group is Cmmm, No. 65. The energy relative to the elements is -102.0 kJ/mol of formula units.



The following is a DFT calculation (GGA-PBE) of a relaxed structure of Ge2AuN.

Lattice parameters (Å, degrees): 6.099 6.099 6.099 126.39 126.39 79.25
Positions (direct):
Ge1 0.056 0.625 0.931
Ge2 0.375 0.306 0.431
Ge3 0.694 0.125 0.069
Ge4 0.875 0.944 0.569
Au1 0.250 0.750 0.500
Au2 0.500 0.500 0.000
N1 0.000 0.000 0.000
N2 0.750 0.250 0.500

The space group is I-42d, No. 122. The electronic total energy comes out at -4.957 eV per atom.



The following is a DFT calculation (GGA-PBE) of a relaxed structure of RbNb2H.

Lattice parameters (Å, degrees): 4.692 4.692 4.692 60.00 60.00 60.00
Positions (direct):
Rb1 0.000 0.000 0.000
Nb1 0.250 0.250 0.250
Nb2 0.750 0.750 0.750
H1 0.500 0.500 0.500

The space group is Fm-3m, No. 225. The value obtained for the relative energy among the computed polymorphs is 5.70 eV/f.u.



The following is a DFT calculation (GGA-PBE) of a relaxed structure of Ho3TeIr.

Lattice parameters (Å, degrees): 7.535 4.267 16.679 90.00 90.00 90.00
Positions (direct):
Ho1 0.016 0.250 0.089
Ho2 0.135 0.750 0.447
Ho3 0.180 0.250 0.705
Ho4 0.320 0.750 0.205
Ho5 0.365 0.250 0.947
Ho6 0.484 0.750 0.589
Ho7 0.516 0.250 0.411
Ho8 0.635 0.750 0.053
Ho9 0.680 0.250 0.795
Ho10 0.820 0.750 0.295
Ho11 0.865 0.250 0.553
Ho12 0.984 0.750 0.911
Te1 0.123 0.250 0.299
Te2 0.377 0.750 0.799
Te3 0.623 0.250 0.201
Te4 0.877 0.750 0.701
Ir1 0.242 0.750 0.042
Ir2 0.258 0.250 0.542
Ir3 0.742 0.750 0.458
Ir4 0.758 0.250 0.958

The space group is Pnma, No. 62. The value obtained for the relative energy among the computed polymorphs is 0.00 eV/f.u.



The following is a DFT calculation (GGA-PBE) of a relaxed structure of Pr2Tm5Sc.

Lattice parameters (Å, degrees): 10.560 10.560 10.560 152.71 152.71 38.98
Positions (direct):
Pr1 0.250 0.250 0.000
Pr2 0.750 0.750 0.000
Tm1 0.000 0.000 0.000
Tm2 0.119 0.619 0.500
Tm3 0.381 0.881 0.500
Tm4 0.619 0.119 0.500
Tm5 0.881 0.381 0.500
Sc1 0.500 0.500 0.000

The space group is I4/mmm, No. 139. The energy relative to the elements is 36.1 kJ/mol of formula units. The value obtained for the relative energy among the computed polymorphs is 0.00 eV/f.u.



The following is a DFT calculation (GGA-PBE) of a relaxed structure of BaPAu.

Lattice parameters (Å, degrees): 4.467 4.467 9.178 90.00 90.00 120.00
Positions (direct):
Ba1 0.000 0.000 0.000
Ba2 0.000 0.000 0.500
P1 0.333 0.667 0.250
P2 0.667 0.333 0.750
Au1 0.333 0.667 0.750
Au2 0.667 0.333 0.250

The space group is P6_3/mmc, No. 194. The energy relative to the elements is -253.3 kJ/mol of formula units.



| no. | DOS(E_F) (states/eV per atom) |
| --- | --- |
| 1 | 0.93 |
| 2 | 0.84 |
| 3 | 1.34 |
| 4 | 0.61 |
| 5 | 0.99 |
| 6 | 0.80 |
| 7 | 0.79 |
| 8 | 0.03 |
| 9 | 1.52 |
| 10 | 0.51 |
| 11 | 1.64 |
| 12 | 0.07 |